No. 1
Entry from Alexandria: a relaxed structure of BeCdAu2 (PBE-GGA).

Computed properties:
Total magnetization ... 0.00 μB per formula unit
Offset from the most stable computed form ... 0.128 eV per atom
V ... 68 Å³ per cell
SG ... P4mm (99)
DFT formation energy ... -10 kJ/mol of formula units

Unit cell a=3.2186 b=3.2186 c=6.5603 alpha=90.00 beta=90.00 gamma=90.00
Closest atoms and distances in Å follow each position.
Fractional positions:
Be 0.0000 0.0000 0.0000  5 Au 2.39-2.67
Cd 0.5000 0.5000 0.3181  5 Au 2.82-2.91, 4 Be 3.09
Au 0.0000 0.0000 0.5936  1 Be 2.67, 4 Cd 2.91
Au 0.5000 0.5000 0.8885  4 Be 2.39

=====

No. 2
Entry from Alexandria: a relaxed structure of Tm2ScHg (PBE-GGA).

Computed properties:
Total magnetization ... 0.73 μB per formula unit
Offset from the most stable computed form ... 0.050 eV per atom
V ... 101 Å³ per cell
SG ... P4/mmm (123)
DFT formation energy ... -64 kJ/mol of formula units

Unit cell a=4.6856 b=4.6856 c=4.5984 alpha=90.00 beta=90.00 gamma=90.00
Closest atoms and distances in Å follow each position.
Fractional positions:
Tm 0.0000 0.5000 0.0000  4 Hg 3.28, 4 Sc 3.28, 4 Tm 3.31
Tm 0.5000 0.0000 0.0000  4 Hg 3.28, 4 Sc 3.28, 4 Tm 3.31
Sc 0.0000 0.0000 0.5000  8 Tm 3.28, 4 Hg 3.31
Hg 0.5000 0.5000 0.5000  8 Tm 3.28, 4 Sc 3.31

=====

No. 3
Entry from Alexandria: a relaxed structure of Tm6GaCu5 (PBE-GGA).

Computed properties:
Total magnetization ... 0.00 μB per formula unit
V ... 244 Å³ per cell
SG ... Cmmm (65)
DFT formation energy ... -393 kJ/mol of formula units

Unit cell a=7.6628 b=7.6628 c=6.9203 alpha=90.00 beta=90.00 gamma=143.11
Closest atoms and distances in Å follow each position.
Fractional positions:
Tm 0.0000 0.0000 0.2435  6 Cu 2.95-2.96, 2 Ga 3.00
Tm 0.0000 0.0000 0.7565  6 Cu 2.95-2.96, 2 Ga 3.00
Tm 0.3315 0.6685 0.2474  7 Cu 2.94-3.01, 1 Ga 3.01
Tm 0.3315 0.6685 0.7526  7 Cu 2.94-3.01, 1 Ga 3.01
Tm 0.6685 0.3315 0.2474  7 Cu 2.94-3.01, 1 Ga 3.01
Tm 0.6685 0.3315 0.7526  7 Cu 2.94-3.01, 1 Ga 3.01
Ga 0.5000 0.5000 0.5000  8 Tm 3.00-3.01
Cu 0.1627 0.8373 0.5000  8 Tm 2.96-3.01
Cu 0.1669 0.8331 0.0000  8 Tm 2.94-2.97
Cu 0.5000 0.5000 0.0000  8 Tm 2.95-2.99
Cu 0.8331 0.1669 0.0000  8 Tm 2.94-2.97
Cu 0.8373 0.1627 0.5000  8 Tm 2.96-3.01

=====

No. 4
Entry from Alexandria: a relaxed structure of Ba2PCl (PBE-GGA).

Computed properties:
Total magnetization ... 0.00 μB per formula unit
Formation energy without anion corrections ... -1.417 eV per atom
Offset from the most stable computed form ... 0.245 eV per atom
V ... 372 Å³ per cell
SG ... I-42d (122)

Unit cell a=8.9792 b=8.9792 c=8.9792 alpha=133.73 beta=133.73 gamma=67.51
Closest atoms and distances in Å follow each position.
Fractional positions:
Ba 0.1065 0.6250 0.9815  2 P 3.04, 2 Cl 3.19
Ba 0.3750 0.3565 0.4815  2 P 3.04, 2 Cl 3.19
Ba 0.6435 0.1250 0.0185  2 P 3.04, 2 Cl 3.19
Ba 0.8750 0.8935 0.5185  2 P 3.04, 2 Cl 3.19
P 0.0000 0.0000 0.0000  4 Ba 3.04
P 0.7500 0.2500 0.5000  4 Ba 3.04
Cl 0.2500 0.7500 0.5000  4 Ba 3.19
Cl 0.5000 0.5000 0.0000  4 Ba 3.19

=====

No. 5
Entry from Alexandria: a relaxed structure of K2CuP (PBE-GGA).

Computed properties:
Total magnetization ... 0.00 μB per formula unit
V ... 131 Å³ per cell
SG ... Cmm2 (35)
DFT formation energy ... 35 kJ/mol of formula units

Unit cell a=3.7666 b=3.7666 c=9.8144 alpha=90.00 beta=90.00 gamma=109.39
Closest atoms and distances in Å follow each position.
Fractional positions:
K 0.0000 0.0000 0.0000  1 Cu 3.04, 2 P 3.34
K 0.5000 0.5000 0.4201  1 P 3.16, 2 Cu 3.43
Cu 0.0000 0.0000 0.6905  2 P 2.24
P 0.5000 0.5000 0.7425  2 Cu 2.24

=====

No. 6
Entry from Alexandria: a relaxed structure of SrBN3 (PBE-GGA).

Computed properties:
Total magnetization ... 0.00 μB per formula unit
Formation energy without anion corrections ... -0.211 eV per atom
V ... 116 Å³ per cell
SG ... P2_1/m (11)

Unit cell a=2.8755 b=5.5195 c=7.3338 alpha=90.00 beta=95.25 gamma=90.00
Closest atoms and distances in Å follow each position.
Fractional positions:
Sr 0.2113 0.2500 0.3173  3 N 2.41-2.67
Sr 0.7887 0.7500 0.6827  3 N 2.41-2.67
B 0.3137 0.2500 0.7180  3 N 1.46-1.58
B 0.6863 0.7500 0.2820  3 N 1.46-1.58
N 0.2068 0.7500 0.3722  2 B 1.58
N 0.3062 0.7500 0.9601  1 N 1.20
N 0.3849 0.2500 0.9177  1 N 1.20
N 0.6151 0.7500 0.0823  1 N 1.20
N 0.6938 0.2500 0.0399  1 N 1.20
N 0.7932 0.2500 0.6278  2 B 1.58

=====

No. 7
Entry from Alexandria: a relaxed structure of TaGa2Rh (PBE-GGA).

Computed properties:
Total magnetization ... 0.00 μB per formula unit
V ... 134 Å³ per cell
SG ... I-42d (122)
DFT formation energy ... -12 kJ/mol of formula units

Unit cell a=5.6639 b=5.6639 c=5.6639 alpha=103.40 beta=103.40 gamma=122.44
Closest atoms and distances in Å follow each position.
Fractional positions:
Ta 0.0000 0.0000 0.0000  4 Ga 2.69, 2 Rh 2.73
Ta 0.7500 0.2500 0.5000  4 Ga 2.69, 2 Rh 2.73
Ga 0.1488 0.6250 0.0238  2 Rh 2.46, 2 Ta 2.69, 2 Ga 2.75
Ga 0.3750 0.3988 0.5238  2 Rh 2.46, 2 Ta 2.69, 2 Ga 2.75
Ga 0.6012 0.1250 0.9762  2 Rh 2.46, 2 Ta 2.69, 2 Ga 2.75
Ga 0.8750 0.8512 0.4762  2 Rh 2.46, 2 Ta 2.69, 2 Ga 2.75
Rh 0.2500 0.7500 0.5000  4 Ga 2.46, 2 Ta 2.73
Rh 0.5000 0.5000 0.0000  4 Ga 2.46, 2 Ta 2.73

=====

No. 8
Entry from Alexandria: a relaxed structure of MgAuI2O (PBE-GGA).

Computed properties:
Total magnetization ... 0.00 μB per formula unit
Formation energy without anion corrections ... -0.284 eV per atom
Offset from the most stable computed form ... 0.000 eV per atom
V ... 128 Å³ per cell
SG ... P4/mmm (123)

Unit cell a=5.9348 b=5.9348 c=3.6474 alpha=90.00 beta=90.00 gamma=90.00
Closest atoms and distances in Å follow each position.
Fractional positions:
Mg 0.0000 0.0000 0.0000  2 O 1.82
Au 0.5000 0.5000 0.5000  8 I 3.48, 2 Au 3.65
I 0.0000 0.5000 0.0000  2 Mg 2.97
I 0.5000 0.0000 0.0000  2 Mg 2.97
O 0.0000 0.0000 0.5000  2 Mg 1.82

=====

The highest total magnetization belongs to which entry? Tm2ScHg

=====

Copy entry 2 word for word.
Entry from Alexandria: a relaxed structure of Tm2ScHg (PBE-GGA).

Computed properties:
Total magnetization ... 0.73 μB per formula unit
Offset from the most stable computed form ... 0.050 eV per atom
V ... 101 Å³ per cell
SG ... P4/mmm (123)
DFT formation energy ... -64 kJ/mol of formula units

Unit cell a=4.6856 b=4.6856 c=4.5984 alpha=90.00 beta=90.00 gamma=90.00
Closest atoms and distances in Å follow each position.
Fractional positions:
Tm 0.0000 0.5000 0.0000  4 Hg 3.28, 4 Sc 3.28, 4 Tm 3.31
Tm 0.5000 0.0000 0.0000  4 Hg 3.28, 4 Sc 3.28, 4 Tm 3.31
Sc 0.0000 0.0000 0.5000  8 Tm 3.28, 4 Hg 3.31
Hg 0.5000 0.5000 0.5000  8 Tm 3.28, 4 Sc 3.31

=====

Among the records above, which one has the highest total magnetization? Tm2ScHg